NiAg2Sb, PBEsol geometry, DFT meta-GGA SCAN; ΔE_f (raw) = 1.47 eV per formula unit; N(E_F) = 1.7 states/eV per cell
1.0
3.008 0.000 0.000
1.504 2.605 0.000
1.504 0.868 8.964
Ag Ni Sb
2 1 1
Cartesian
1.504 0.868 2.520
4.512 2.605 6.444
3.008 1.737 4.482
0.000 0.000 0.000

NiAgSb2, PBEsol geometry, DFT meta-GGA SCAN; ΔE_f (raw) = 0.70 eV per formula unit; N(E_F) = 1.5 states/eV per cell
1.0
-0.134 -2.496 -1.909
2.943 -0.780 0.787
-2.696 -4.302 5.816
Ag Ni Sb
1 1 2
Cartesian
0.057 -3.789 2.347
1.405 -1.638 -0.561
-0.579 -0.925 1.250
-2.116 -3.378 4.566

NiAg2Sb, PBEsol geometry, DFT meta-GGA SCAN; ΔE_f (raw) = 0.88 eV per formula unit; N(E_F) = 1.8 states/eV per cell
1.0
-0.625 2.044 -2.258
-4.351 -0.507 0.836
0.201 3.674 3.271
Ag Ni Sb
2 1 1
Cartesian
-1.275 0.375 -0.343
-3.702 1.162 -1.078
-2.075 1.584 2.054
-0.212 2.859 0.507

NiAgSb2Te, PBEsol geometry, DFT meta-GGA SCAN; ΔE_f (raw) = 2.12 eV per formula unit; N(E_F) = 3.3 states/eV per cell
1.0
-0.535 -2.830 -3.901
3.387 -3.012 1.721
-3.653 -2.702 2.461
Sb Te Ag Ni
2 1 1 1
Cartesian
1.694 -1.506 0.860
-0.267 -1.415 -1.950
-1.826 -1.351 1.230
-0.400 -4.272 0.140
0.000 0.000 0.000

Sc2Ni2Ag, PBEsol geometry, DFT meta-GGA SCAN; N(E_F) = 1.7 states/eV per cell; ΔH_f (0 K) = -212 meV/atom
1.0
-4.662 1.063 0.230
1.751 -2.200 -4.156
-1.086 -4.596 -0.782
Sc Ni Ag
2 2 1
Cartesian
-3.436 -3.750 -2.492
-0.562 -1.983 -2.216
-2.885 -1.578 -1.367
-1.112 -4.155 -3.341
0.000 0.000 0.000

Sc2Ni2Ag, PBEsol geometry, DFT meta-GGA SCAN; N(E_F) = 6.6 states/eV per cell; ΔH_f (0 K) = -433 meV/atom
1.0
3.276 0.000 0.000
0.000 6.947 0.000
0.000 0.000 6.947
Sc Ni Ag
4 4 2
Cartesian
1.638 1.187 4.661
1.638 4.661 5.760
1.638 5.760 2.287
1.638 2.287 1.187
0.000 2.604 6.078
0.000 6.078 4.343
0.000 4.343 0.870
0.000 0.870 2.604
0.000 0.000 0.000
0.000 3.474 3.474

ScNi4Ag, PBEsol geometry, DFT meta-GGA SCAN; N(E_F) = 6.4 states/eV per cell; ΔH_f (0 K) = -285 meV/atom
1.0
-0.328 1.506 -4.498
-4.272 0.689 -1.971
-1.507 4.414 -0.925
Ag Ni Sc
1 4 1
Cartesian
0.000 0.000 0.000
-2.288 2.477 -2.771
-3.043 4.688 -3.235
-2.452 3.231 -5.025
-4.428 2.822 -3.759
-4.580 4.957 -5.546

NiAg2Se, PBEsol geometry, DFT meta-GGA SCAN; ΔE_f (raw) = 1.29 eV per formula unit; N(E_F) = 1.7 states/eV per cell
1.0
-0.016 4.465 0.101
-2.316 2.154 3.154
2.149 2.168 3.260
Ag Ni Se
2 1 1
Cartesian
0.000 0.000 0.000
-0.046 2.197 1.629
-0.091 4.393 3.257
-0.137 6.590 4.886